Entry 1:
First-principles (GGA+U) data for a relaxed structure of LiVMoO6, as listed in Alexandria.

The total magnetization comes out at 0.0 μB/f.u. The calculated total energy is -6.908 eV/atom.

Geometry as extended XYZ:
```
9
Lattice="4.749 -1.856 0.000 4.749 1.856 0.000 -2.559 0.000 6.286" Properties=species:S:1:pos:R:3 pbc="T T T"
Li 0.000 0.000 0.000
V 0.256 0.000 4.301
Mo 6.970 0.000 2.417
O -1.429 0.000 4.574
O 1.944 0.000 2.953
O 0.997 0.000 5.778
O 6.115 0.000 0.910
O 5.294 0.000 3.780
O 8.666 0.000 1.927
```

***

Entry 2:
First-principles (GGA+U) data for a relaxed structure of Li2MoWO6, as listed in Alexandria.

The total magnetization comes out at 2.0 μB/f.u. The calculated total energy is -6.776 eV/atom.

Geometry as extended XYZ:
```
10
Lattice="2.596 1.499 4.662 -2.596 1.499 4.662 0.000 -2.997 4.662" Properties=species:S:1:pos:R:3 pbc="T T T"
Li 0.000 0.000 0.000
Li 0.000 0.000 6.984
Mo 0.000 0.000 3.041
W 0.000 0.000 10.022
O -0.988 -1.692 6.417
O -1.565 0.154 8.835
O -0.971 1.701 6.417
O 0.649 -1.432 8.835
O 1.959 -0.009 6.417
O 0.916 1.279 8.835
```

***

Entry 3:
First-principles (GGA+U) data for a relaxed structure of LiY5Mo2O12, as listed in Alexandria.

The total magnetization comes out at 4.0 μB/f.u. As for the excess energy over the best structure of this formula in the dataset: 2.7 meV/atom. The calculated total energy is -8.245 eV/atom.

Geometry as extended XYZ:
```
20
Lattice="6.271 -3.005 0.000 6.271 3.005 0.000 -2.140 0.000 7.091" Properties=species:S:1:pos:R:3 pbc="T T T"
Li 0.000 0.000 0.000
Y 0.228 0.000 5.456
Y 1.363 0.000 2.281
Y 5.712 0.000 3.494
Y 4.709 0.000 6.834
Y 9.192 0.000 4.437
Mo 4.007 1.523 0.941
Mo 4.007 -1.523 0.941
O 4.721 1.538 5.059
O 5.975 1.488 1.474
O 3.637 0.000 2.386
O 2.326 0.000 6.692
O 8.372 1.637 0.311
O 7.442 1.489 3.959
O 4.721 -1.538 5.059
O 5.975 -1.488 1.474
O 9.850 0.000 2.252
O 8.595 0.000 6.607
O 7.442 -1.489 3.959
O 8.372 -1.637 0.311
```

***

Entry 4:
First-principles (GGA+U) data for a relaxed structure of LiY5Mo2O12, as listed in Alexandria.

The total magnetization comes out at 4.0 μB/f.u. As for the excess energy over the best structure of this formula in the dataset: 19.7 meV/atom. The calculated total energy is -8.228 eV/atom.

Geometry as extended XYZ:
```
20
Lattice="5.932 0.000 0.000 -2.911 6.409 0.000 -0.088 -2.203 7.048" Properties=species:S:1:pos:R:3 pbc="T T T"
Li 0.000 0.000 0.000
Y 0.087 0.164 5.669
Y 0.084 3.511 6.685
Y 0.113 4.670 3.395
Y 3.148 3.865 1.010
Y 3.070 2.843 4.641
Mo 1.611 1.134 2.170
Mo 4.655 1.124 2.189
O -1.400 1.801 6.179
O -1.405 3.047 2.790
O 0.156 0.651 3.507
O 0.213 1.647 0.782
O -1.242 5.542 1.485
O -1.367 4.558 5.221
O 1.586 1.805 6.185
O 1.698 3.160 2.793
O 3.096 0.623 3.522
O 3.133 1.540 0.846
O 1.740 5.672 1.384
O 1.703 4.576 5.348
```

***

Entry 5:
First-principles (GGA+U) data for a relaxed structure of LiY5Mo2O12, as listed in Alexandria.

The total magnetization comes out at 2.0 μB/f.u. As for the excess energy over the best structure of this formula in the dataset: 0.0 meV/atom. The calculated total energy is -8.248 eV/atom.

Geometry as extended XYZ:
```
20
Lattice="6.212 -2.938 0.000 6.212 2.938 0.000 -2.258 0.000 7.127" Properties=species:S:1:pos:R:3 pbc="T T T"
Li 0.000 0.000 0.000
Y 1.625 0.000 2.429
Y 0.582 0.000 6.102
Y 6.212 0.000 0.000
Y 9.584 0.000 1.025
Y 8.541 0.000 4.699
Mo 5.083 1.298 3.564
Mo 5.083 -1.298 3.564
O -0.688 0.000 2.188
O 10.854 0.000 4.939
O 3.192 1.551 2.910
O 2.288 1.539 6.657
O 7.878 1.539 0.470
O 6.974 1.551 4.217
O 4.442 0.000 4.971
O 5.724 0.000 2.156
O 3.192 -1.551 2.910
O 2.288 -1.539 6.657
O 7.878 -1.539 0.470
O 6.974 -1.551 4.217
```

***

Entry 6:
First-principles (GGA+U) data for a relaxed structure of LiYbMo2O8, as listed in Alexandria.

The total magnetization comes out at 1.1 μB/f.u. The calculated total energy is -6.713 eV/atom.

Geometry as extended XYZ:
```
12
Lattice="-2.607 2.607 5.607 2.607 -2.607 5.607 2.607 2.607 -5.607" Properties=species:S:1:pos:R:3 pbc="T T T"
Li 0.000 0.000 0.000
Yb 2.607 0.000 2.804
Mo 0.000 0.000 5.607
Mo 0.000 2.607 2.804
O 1.274 -0.804 4.605
O 1.803 1.333 1.003
O -0.829 1.319 1.836
O 1.333 3.411 -1.003
O 1.288 1.778 3.771
O 0.804 1.274 6.610
O 0.829 3.895 1.836
O -1.288 3.436 3.771
```

***

Entry 7:
First-principles (GGA+U) data for a relaxed structure of Li2ZnMoO4, as listed in Alexandria.

The total magnetization comes out at 2.0 μB/f.u. The calculated total energy is -5.722 eV/atom.

Geometry as extended XYZ:
```
8
Lattice="5.261 0.000 0.000 0.000 3.096 0.000 -1.811 0.000 4.997" Properties=species:S:1:pos:R:3 pbc="T T T"
Li 0.000 0.000 0.000
Li -0.906 1.548 2.499
Zn 1.725 0.000 2.499
Mo 2.630 1.548 0.000
O -0.043 0.000 3.839
O 0.999 1.548 1.231
O 2.451 1.548 3.766
O 3.493 0.000 1.159
```

***

Entry 8:
First-principles (GGA+U) data for a relaxed structure of Li3Zn2MoO6, as listed in Alexandria.

The total magnetization comes out at 1.0 μB/f.u. The calculated total energy is -5.460 eV/atom.

Geometry as extended XYZ:
```
12
Lattice="2.612 -4.626 0.000 2.612 4.626 0.000 -1.678 0.000 4.920" Properties=species:S:1:pos:R:3 pbc="T T T"
Li 0.000 0.000 0.000
Li 2.612 1.665 0.000
Li 2.612 -1.665 0.000
Zn 1.773 3.035 2.460
Zn 1.773 -3.035 2.460
Mo 1.773 0.000 2.460
O 0.939 1.471 1.282
O 0.177 0.000 3.575
O 0.939 -1.471 1.282
O 2.607 1.471 3.638
O 3.369 0.000 1.344
O 2.607 -1.471 3.638
```

***

Copy entry 5 word for word.
First-principles (GGA+U) data for a relaxed structure of LiY5Mo2O12, as listed in Alexandria.

The total magnetization comes out at 2.0 μB/f.u. As for the excess energy over the best structure of this formula in the dataset: 0.0 meV/atom. The calculated total energy is -8.248 eV/atom.

Geometry as extended XYZ:
```
20
Lattice="6.212 -2.938 0.000 6.212 2.938 0.000 -2.258 0.000 7.127" Properties=species:S:1:pos:R:3 pbc="T T T"
Li 0.000 0.000 0.000
Y 1.625 0.000 2.429
Y 0.582 0.000 6.102
Y 6.212 0.000 0.000
Y 9.584 0.000 1.025
Y 8.541 0.000 4.699
Mo 5.083 1.298 3.564
Mo 5.083 -1.298 3.564
O -0.688 0.000 2.188
O 10.854 0.000 4.939
O 3.192 1.551 2.910
O 2.288 1.539 6.657
O 7.878 1.539 0.470
O 6.974 1.551 4.217
O 4.442 0.000 4.971
O 5.724 0.000 2.156
O 3.192 -1.551 2.910
O 2.288 -1.539 6.657
O 7.878 -1.539 0.470
O 6.974 -1.551 4.217
```

***

> Among the records above, which one has the highest calculated total energy?

Li3Zn2MoO6

***

> Which of these has the highest calculated total energy?

Li3Zn2MoO6

***

> The highest calculated total energy belongs to which entry?

Li3Zn2MoO6